# PBEsol ScCoMo2, relaxed
# Energy above the most stable polymorph in this dataset   111 meV/atom
# ΔE_f   0.15 eV per atom
data_ScCoMo2
_symmetry_space_group_name_H-M 'I 4/m m m'
_symmetry_Int_Tables_number 139
_symmetry_space_group_name_Hall '-I 4 2'
_cell_length_a 3.665
_cell_length_b 3.665
_cell_length_c 8.979
_cell_angle_alpha 90.00
_cell_angle_beta 90.00
_cell_angle_gamma 90.00
loop_
_atom_site_label
_atom_site_type_symbol
_atom_site_fract_x
_atom_site_fract_y
_atom_site_fract_z
_atom_site_occupancy
Sc1 Sc 0.000 0.000 0.000 1
Co1 Co 0.000 0.000 0.500 1
Mo1 Mo 0.000 0.500 0.250 1